No. 1
Here is crystalline Sm3Y5As8 at its relaxed geometry from Alexandria via LeMat-Bulk. Energies are from PBE-GGA.

Properties
N(E_F) = 2.54 states/eV per cell
energy relative to the elements = -1.5441 eV/atom
calculated total energy = -6.774 eV/atom
ρ = 6.10 g/cm3

Geometry as POSCAR:
```
Sm3Y5As8
1.0
4.158 2.401 6.790
-4.158 2.401 6.790
0.000 -4.801 6.790
Sm Y As
3 5 8
Cartesian
-2.079 -1.200 6.790
-2.079 1.200 13.580
0.000 2.401 6.790
0.000 0.000 0.000
-4.158 0.000 10.185
-2.079 1.200 3.395
2.079 1.200 3.395
0.000 0.000 10.185
-2.093 -1.209 11.859
0.000 0.000 5.056
0.000 -2.417 8.511
-2.093 1.209 8.511
2.093 -1.209 11.859
0.000 2.417 11.859
0.000 0.000 15.314
2.093 1.209 8.511
```

---

No. 2
Here is crystalline Rb2CaIrF6 at its relaxed geometry from Alexandria via LeMat-Bulk. Energies are from PBE-GGA.

Properties
N(E_F) = 0.00 states/eV per cell
calculated total energy = -4.828 eV/atom
ρ = 4.90 g/cm3
raw formation energy = -2.43 eV per atom

Geometry as POSCAR:
```
Rb2CaIrF6
1.0
-3.188 3.188 4.314
3.188 -3.188 4.314
3.188 3.188 -4.314
Rb Ca Ir F
2 1 1 6
Cartesian
3.188 0.000 2.157
0.000 3.188 2.157
0.000 0.000 0.000
0.000 0.000 4.314
1.580 1.580 0.000
1.608 -1.608 4.314
0.000 0.000 2.254
0.000 0.000 6.374
-1.608 1.608 4.314
1.608 1.608 4.314
```

---

What did the second record say?
Here is crystalline Rb2CaIrF6 at its relaxed geometry from Alexandria via LeMat-Bulk. Energies are from PBE-GGA.

Properties
N(E_F) = 0.00 states/eV per cell
calculated total energy = -4.828 eV/atom
ρ = 4.90 g/cm3
raw formation energy = -2.43 eV per atom

Geometry as POSCAR:
```
Rb2CaIrF6
1.0
-3.188 3.188 4.314
3.188 -3.188 4.314
3.188 3.188 -4.314
Rb Ca Ir F
2 1 1 6
Cartesian
3.188 0.000 2.157
0.000 3.188 2.157
0.000 0.000 0.000
0.000 0.000 4.314
1.580 1.580 0.000
1.608 -1.608 4.314
0.000 0.000 2.254
0.000 0.000 6.374
-1.608 1.608 4.314
1.608 1.608 4.314
```